1.
SrCoSeBr2 | PBE | optimized geometry

The uncorrected formation energy comes out at -0.860 eV per atom. For the total energy, the calculation gives -19.9 eV per cell. For the density, the calculation gives 5.03 g/cm3. For the energy above the lowest structure with this stoichiometry, the calculation gives 0 meV per atom.

The structure belongs to space group P4/mmm (No. 123); the cell edges are 5.1139, 5.1139 and 4.8651 Å and the angles 90.00°, 90.00° and 90.00°. The inequivalent atoms are Sr at (0.0000, 0.0000, 0.0000), Co at (0.5000, 0.5000, 0.5000), Se at (0.5000, 0.5000, 0.0000) and Br at (0.0000, 0.5000, 0.5000).


2.
MnSeIN2 | PBE | optimized geometry

The uncorrected formation energy comes out at 0.949 eV per atom. For the total energy, the calculation gives -26.1 eV per cell. For the density, the calculation gives 6.02 g/cm3. For the energy above the lowest structure with this stoichiometry, the calculation gives 0 meV per atom.

The structure belongs to space group P4/mmm (No. 123); the cell edges are 3.7969, 3.7969 and 5.5281 Å and the angles 90.00°, 90.00° and 90.00°. The inequivalent atoms are Mn at (0.0000, 0.0000, 0.0000), Se at (0.0000, 0.0000, 0.5000), I at (0.5000, 0.5000, 0.5000) and N at (0.0000, 0.5000, 0.0000).


3.
Rb3YOs | PBE | optimized geometry

For the total energy, the calculation gives -11.9 eV per cell. For the density, the calculation gives 3.54 g/cm3. For the energy above the lowest structure with this stoichiometry, the calculation gives 0 meV per atom.

The structure belongs to space group Pm-3m (No. 221); the cell edges are 6.3094, 6.3094 and 6.3094 Å and the angles 90.00°, 90.00° and 90.00°. The inequivalent atoms are Rb at (0.0000, 0.0000, 0.5000), Y at (0.5000, 0.5000, 0.5000) and Os at (0.0000, 0.0000, 0.0000).


4.
ScTl3Cl | PBE | optimized geometry

The uncorrected formation energy comes out at 0.169 eV per atom. For the total energy, the calculation gives -14.4 eV per cell. For the density, the calculation gives 5.85 g/cm3. For the energy above the lowest structure with this stoichiometry, the calculation gives 0 meV per atom.

The structure belongs to space group Pm-3m (No. 221); the cell edges are 5.8186, 5.8186 and 5.8186 Å and the angles 90.00°, 90.00° and 90.00°. The inequivalent atoms are Sc at (0.0000, 0.0000, 0.0000), Tl at (0.0000, 0.0000, 0.5000) and Cl at (0.5000, 0.5000, 0.5000).


5.
Cu3TcO | PBE | optimized geometry

The uncorrected formation energy comes out at 1.927 eV per atom. For the total energy, the calculation gives -18.0 eV per cell. For the density, the calculation gives 5.19 g/cm3. For the energy above the lowest structure with this stoichiometry, the calculation gives 1443 meV per atom.

The structure belongs to space group Pm-3m (No. 221); the cell edges are 4.6026, 4.6026 and 4.6026 Å and the angles 90.00°, 90.00° and 90.00°. The inequivalent atoms are Cu at (0.0000, 0.0000, 0.5000), Tc at (0.0000, 0.0000, 0.0000) and O at (0.5000, 0.5000, 0.5000).


6.
NaZn2H | PBE | optimized geometry

For the total energy, the calculation gives -19.4 eV per cell. For the density, the calculation gives 3.59 g/cm3. For the energy above the lowest structure with this stoichiometry, the calculation gives 321 meV per atom.

The structure belongs to space group Fm-3m (No. 225); the cell edges are 6.5920, 6.5920 and 6.5920 Å and the angles 90.00°, 90.00° and 90.00°. The inequivalent atoms are Na at (0.0000, 0.0000, 0.0000), Zn at (0.2500, 0.2500, 0.2500) and H at (0.0000, 0.0000, 0.5000).


7.
LiCa2Pt | PBE | optimized geometry

For the total energy, the calculation gives -13.9 eV per cell. For the density, the calculation gives 4.56 g/cm3.

The structure belongs to space group P2/m (No. 10); the cell edges are 3.6365, 3.5952 and 7.8531 Å and the angles 90.00°, 90.21° and 90.00°. The inequivalent atoms are Li at (0.0000, 0.0000, 0.0000), Ca at (0.4993, 0.5000, 0.2921) and Pt at (0.0000, 0.0000, 0.5000).


8.
Tb2PtSe | PBE | optimized geometry

The uncorrected formation energy comes out at -1.480 eV per atom. For the total energy, the calculation gives -74.1 eV per cell. For the density, the calculation gives 9.82 g/cm3. For the energy above the lowest structure with this stoichiometry, the calculation gives 35 meV per atom.

The structure belongs to space group R-3m (No. 166, hexagonal axes); the cell edges are 4.0314, 4.0314 and 21.3276 Å and the angles 90.00°, 90.00° and 120.00°. The inequivalent atoms are Tb at (0.0000, 0.0000, 0.2437), Pt at (0.0000, 0.0000, 0.5000) and Se at (0.0000, 0.0000, 0.0000).